1.
A plane-wave DFT calculation with PBE-GGA was carried out for crystalline PrDy5Pb6 at its relaxed geometry.

Summary:
Symmetry   Immm
E_tot   -4.611 eV per atom
Total moment   0.000 μB per atom
ΔE_f   -0.44 eV/atom
D(E_F)   12.0 states/eV/f.u.

Unit cell a=9.174 b=9.174 c=9.174 alpha=148.19 beta=121.51 gamma=68.14
Element x y z (fractional)
Pr 0.000 0.000 0.000
Dy 0.168 0.668 0.500
Dy 0.332 0.332 0.000
Dy 0.500 0.000 0.500
Dy 0.668 0.668 0.000
Dy 0.832 0.332 0.500
Pb 0.084 0.831 0.253
Pb 0.255 0.500 0.755
Pb 0.421 0.169 0.253
Pb 0.579 0.831 0.747
Pb 0.745 0.500 0.245
Pb 0.916 0.169 0.747

---

2.
A plane-wave DFT calculation with PBE-GGA was carried out for crystalline Ba6LiHg2 at its relaxed geometry.

Summary:
Symmetry   Immm
E_tot   -1.770 eV per atom
Total moment   0.000 μB per atom
ΔE_f   -0.21 eV/atom
D(E_F)   13.6 states/eV/f.u.

Unit cell a=10.465 b=10.465 c=10.465 alpha=116.23 beta=110.84 gamma=101.67
Element x y z (fractional)
Ba 0.040 0.235 0.805
Ba 0.178 0.292 0.470
Ba 0.178 0.708 0.886
Ba 0.338 0.029 0.691
Ba 0.338 0.646 0.309
Ba 0.431 0.235 0.195
Ba 0.569 0.765 0.805
Ba 0.662 0.354 0.691
Ba 0.662 0.971 0.309
Ba 0.822 0.292 0.114
Ba 0.822 0.708 0.530
Ba 0.960 0.765 0.195
Li 0.000 0.000 0.000
Li 0.500 0.500 0.000
Hg 0.132 0.632 0.500
Hg 0.326 0.000 0.326
Hg 0.674 0.000 0.674
Hg 0.868 0.368 0.500

---

3.
A plane-wave DFT calculation with PBE-GGA was carried out for crystalline PmGdSb2 at its relaxed geometry.

Summary:
Polymorph energy (0 for the lowest one)   302 meV per atom
Symmetry   Fm-3m
E_tot   -7.643 eV per atom
Uncorrected formation energy   -874 meV/atom
Total moment   1.840 μB per atom
D(E_F)   3.0 states/eV/f.u.

Unit cell a=5.449 b=5.449 c=5.449 alpha=60.00 beta=60.00 gamma=60.00
Element x y z (fractional)
Pm 0.000 0.000 0.000
Gd 0.500 0.500 0.500
Sb 0.250 0.250 0.250
Sb 0.750 0.750 0.750

---

4.
A plane-wave DFT calculation with PBE-GGA was carried out for crystalline Ni2HPdI at its relaxed geometry.

Summary:
Symmetry   P4/mmm
E_tot   -2.989 eV per atom
Total moment   0.379 μB per atom
D(E_F)   8.6 states/eV/f.u.

Unit cell a=4.714 b=4.714 c=5.087 alpha=90.00 beta=90.00 gamma=90.00
Element x y z (fractional)
Ni 0.000 0.500 0.000
Ni 0.500 0.000 0.000
H 0.000 0.000 0.500
Pd 0.500 0.500 0.500
I 0.500 0.500 0.000